# 1
## Ca2AlCdW (PBE)

Data for a relaxed structure of Ca2AlCdW.

Properties
space-group type: No. 123
formation enthalpy at 0 K: 28.14 kcal/mol of atoms

POSCAR file:
```
Ca2AlCdW
1.0
5.708 0.000 0.000
0.000 4.835 0.000
0.000 0.000 5.708
Ca Al W Cd
2 1 1 1
Direct
0.000 0.000 0.500 Ca
0.500 0.000 0.000 Ca
0.000 0.500 0.000 Al
0.500 0.500 0.500 W
0.000 0.000 0.000 Cd
```

# 2
## CaYAlCd (PBE)

Data for a relaxed structure of CaYAlCd.

Properties
offset from the most stable computed form: 8 meV per atom
space-group type: No. 216
formation enthalpy at 0 K: -7.61 kcal/mol of atoms

POSCAR file:
```
CaYAlCd
1.0
5.265 0.000 0.000
2.632 4.559 0.000
2.632 1.520 4.298
Y Ca Al Cd
1 1 1 1
Direct
0.750 0.750 0.750 Y
0.250 0.250 0.250 Ca
0.500 0.500 0.500 Al
0.000 0.000 0.000 Cd
```

# 3
## CaYAlCd (PBE)

Data for a relaxed structure of CaYAlCd.

Properties
offset from the most stable computed form: 0 meV per atom
space-group type: No. 99
formation enthalpy at 0 K: -7.80 kcal/mol of atoms

POSCAR file:
```
CaYAlCd
1.0
3.644 0.000 0.000
0.000 3.644 0.000
0.000 0.000 7.776
Ca Y Al Cd
1 1 1 1
Direct
0.500 0.500 0.599 Ca
0.500 0.500 0.118 Y
0.000 0.000 0.348 Al
0.000 0.000 0.862 Cd
```

# 4
## Ca2AlZnCd6 (PBE)

Data for a relaxed structure of Ca2AlZnCd6.

Properties
space-group type: No. 166
formation enthalpy at 0 K: -1.86 kcal/mol of atoms

POSCAR file:
```
Ca2AlZnCd6
1.0
7.048 0.000 0.000
3.524 6.104 0.000
3.524 2.035 11.760
Ca Al Zn Cd
4 2 2 12
Direct
0.892 0.892 0.325 Ca
0.108 0.108 0.675 Ca
0.718 0.718 0.846 Ca
0.282 0.282 0.154 Ca
0.573 0.573 0.280 Al
0.427 0.427 0.720 Al
0.000 0.000 0.000 Zn
0.500 0.500 0.500 Zn
0.927 0.335 0.403 Cd
0.335 0.927 0.403 Cd
0.335 0.335 0.403 Cd
0.073 0.665 0.597 Cd
0.665 0.073 0.597 Cd
0.665 0.665 0.597 Cd
0.654 0.223 0.900 Cd
0.223 0.654 0.900 Cd
0.223 0.223 0.900 Cd
0.346 0.777 0.100 Cd
0.777 0.346 0.100 Cd
0.777 0.777 0.100 Cd
```

# 5
## Ca2Al3Zn4Cd (PBE)

Data for a relaxed structure of Ca2Al3Zn4Cd.

Properties
space-group type: No. 115
formation enthalpy at 0 K: -4.97 kcal/mol of atoms

POSCAR file:
```
Ca2Al3Zn4Cd
1.0
4.305 0.000 0.000
0.000 4.305 0.000
0.000 0.000 11.073
Ca Al Zn Cd
2 3 4 1
Direct
0.500 0.000 0.242 Ca
0.000 0.500 0.758 Ca
0.000 0.000 0.500 Al
0.500 0.000 0.871 Al
0.000 0.500 0.129 Al
0.500 0.500 0.000 Zn
0.000 0.000 0.000 Zn
0.500 0.000 0.645 Zn
0.000 0.500 0.355 Zn
0.500 0.500 0.500 Cd
```

# 6
## Ca2Al4Zn3Cd (PBE)

Data for a relaxed structure of Ca2Al4Zn3Cd.

Properties
space-group type: No. 115
formation enthalpy at 0 K: -5.08 kcal/mol of atoms

POSCAR file:
```
Ca2Al4Zn3Cd
1.0
-2.701 -0.763 -3.159
3.180 0.230 -2.774
1.826 -11.269 1.160
Ca Al Zn Cd
2 4 3 1
Direct
0.500 0.000 0.244 Ca
0.000 0.500 0.756 Ca
0.500 0.500 0.000 Al
0.000 0.000 0.000 Al
0.500 0.000 0.645 Al
0.000 0.500 0.355 Al
0.000 0.000 0.500 Zn
0.500 0.000 0.863 Zn
0.000 0.500 0.137 Zn
0.500 0.500 0.500 Cd
```

# 7
## CaCeAl (PBE)

Data for a relaxed structure of CaCeAl.

Properties
offset from the most stable computed form: 0 meV per atom
space-group type: No. 11
formation enthalpy at 0 K: -3.94 kcal/mol of atoms

POSCAR file:
```
CaCeAl
1.0
3.566 0.001 0.786
-0.003 3.902 0.009
1.447 -0.026 12.337
Ca Ce Al
2 2 2
Direct
0.513 0.291 0.129 Ca
0.732 0.791 0.383 Ca
0.881 0.291 0.820 Ce
0.363 0.791 0.692 Ce
0.044 0.291 0.544 Al
0.201 0.791 0.968 Al
```

# 8
## Ca3CeAl8 (PBE)

Data for a relaxed structure of Ca3CeAl8.

Properties
offset from the most stable computed form: 13 meV per atom
space-group type: No. 156
formation enthalpy at 0 K: -7.82 kcal/mol of atoms

POSCAR file:
```
Ca3CeAl8
1.0
-3.937 -3.856 -1.332
5.474 -1.067 -1.022
0.831 -3.736 8.357
Ca Ce Al
3 1 8
Direct
0.667 0.333 0.433 Ca
0.667 0.333 0.065 Ca
0.000 0.000 0.932 Ca
0.000 0.000 0.567 Ce
0.333 0.667 0.500 Al
0.333 0.667 0.005 Al
0.504 0.007 0.747 Al
0.504 0.496 0.747 Al
0.993 0.496 0.747 Al
0.162 0.324 0.252 Al
0.162 0.838 0.252 Al
0.676 0.838 0.252 Al
```

Calculated total magnetization in order - 4.3; 0.0; 0.0; 0.0; 0.0; 0.0; 0.0; 0.7 Bohr magnetons per cell